Below is AcHgIO2 after structural relaxation, with properties calculated at the PBE level.

Cell lengths 6.9009, 4.0914, 8.6213 Å; angles 90.00, 98.60, 90.00 degrees
Space group P2_1/m (No. 11)
Unique sites:
Ac (0.1333, 0.2500, 0.1941)
Hg (0.3743, 0.2500, 0.8457)
I (0.2519, 0.7500, 0.5569)
O (0.0873, 0.2500, 0.8959)
O (0.3290, 0.7500, 0.1566)

Computed properties:
The uncorrected formation energy comes out at -1786 meV per atom. Its density is 8.09 g/cm³. The total energy comes out at -49.611 eV/cell. Its crystal system is monoclinic.

Below is AcHg2IO6 after structural relaxation, with properties calculated at the PBE level.

Cell lengths 5.9984, 5.9984, 16.2279 Å; angles 90.00, 90.00, 120.00 degrees
Space group R3 (No. 146, hexagonal axes)
Unique sites:
Ac (0.0000, 0.0000, 0.0000)
Hg (0.0000, 0.0000, 0.2404)
Hg (0.0000, 0.0000, 0.7910)
I (0.0000, 0.0000, 0.4883)
O (0.0407, 0.3457, 0.5637)
O (0.0711, 0.6779, 0.0839)

Computed properties:
The uncorrected formation energy comes out at -1036 meV per atom. Its density is 8.38 g/cm³. The total energy comes out at -139.125 eV/cell. Its crystal system is trigonal.

Below is AcHgIO6 after structural relaxation, with properties calculated at the PBE level.

Cell lengths 5.6995, 5.6995, 5.1548 Å; angles 90.00, 90.00, 120.00 degrees
Space group P312 (No. 149)
Unique sites:
Ac (0.0000, 0.0000, 0.0000)
Hg (0.3333, 0.6667, 0.5000)
I (0.6667, 0.3333, 0.5000)
O (0.3906, 0.0611, 0.7148)

Computed properties:
The uncorrected formation energy comes out at -1214 meV per atom. Its density is 7.45 g/cm³. The total energy comes out at -46.631 eV/cell. Its crystal system is trigonal.

Below is AcHg2IO8 after structural relaxation, with properties calculated at the PBE level.

Cell lengths 5.8204, 5.8204, 6.5794 Å; angles 90.00, 90.00, 120.00 degrees
Space group P-3m1 (No. 164)
Unique sites:
Ac (0.0000, 0.0000, 0.0000)
Hg (0.3333, 0.6667, 0.4286)
I (0.0000, 0.0000, 0.5000)
O (0.1520, 0.3039, 0.6738)
O (0.3333, 0.6667, 0.1077)

Computed properties:
The uncorrected formation energy comes out at -582 meV per atom. Its density is 7.60 g/cm³. The total energy comes out at -52.916 eV/cell. The density of states at the Fermi level comes out at 8.5 states/eV/cell. Its crystal system is trigonal.